1.
First-principles (PBE) data for an optimized crystal structure of NaCd9Ga2, as listed in Alexandria via LeMat-Bulk.

a b c (Å): 7.7765 9.3398 9.3398
angles (deg): 80.02 65.40 65.40
Positions (direct):
Na1 0.5000 0.0000 0.0000
Na2 0.2500 0.5000 0.5000
Cd1 0.7500 0.5000 0.5000
Cd2 0.0000 0.0000 0.0000
Cd3 0.9904 0.9254 0.6833
Cd4 0.5991 0.0746 0.3167
Cd5 0.6658 0.1833 0.5746
Cd6 0.4238 0.8167 0.4254
Cd7 0.7595 0.8167 0.5746
Cd8 0.1509 0.1833 0.4254
Cd9 0.0842 0.9254 0.3167
Cd10 0.3262 0.0746 0.6833
Cd11 0.7595 0.5746 0.8167
Cd12 0.1509 0.4254 0.1833
Cd13 0.0842 0.3167 0.9254
Cd14 0.3262 0.6833 0.0746
Cd15 0.9904 0.6833 0.9254
Cd16 0.5991 0.3167 0.0746
Cd17 0.6658 0.5746 0.1833
Cd18 0.4238 0.4254 0.8167
Ga1 0.8750 0.2500 0.7500
Ga2 0.8750 0.7500 0.2500
Ga3 0.8750 0.2500 0.2500
Ga4 0.3750 0.7500 0.7500

Summary:
Energy of formation ... -8.6 meV per atom
D(E_F) ... 0.386 states/eV per atom

=====

2.
First-principles (PBE) data for an optimized crystal structure of NaCd2Ga2, as listed in Alexandria via LeMat-Bulk.

a b c (Å): 6.2025 7.0917 7.1217
angles (deg): 86.86 64.23 60.82
Positions (direct):
Na1 0.8706 0.8084 0.1885
Na2 0.1294 0.1916 0.8115
Cd1 0.5527 0.3527 0.3153
Cd2 0.9266 0.6931 0.6672
Cd3 0.0734 0.3069 0.3328
Cd4 0.4473 0.6473 0.6847
Ga1 0.5477 0.6583 0.0267
Ga2 0.7321 0.1305 0.5912
Ga3 0.4522 0.3417 0.9733
Ga4 0.2679 0.8695 0.4088

Summary:
Energy of formation ... -27.3 meV per atom
D(E_F) ... 0.318 states/eV per atom
Relative energy among the computed polymorphs ... 23.1 meV/atom

=====

3.
First-principles (PBE) data for an optimized crystal structure of Na5Cd12Ga2, as listed in Alexandria via LeMat-Bulk.

a b c (Å): 7.6140 7.8478 8.6301
angles (deg): 62.96 90.65 90.00
Positions (direct):
Na1 0.5735 0.7580 0.4841
Na2 0.0017 0.7019 0.5962
Na3 0.5000 0.0000 0.0000
Na4 0.9983 0.2981 0.4038
Na5 0.4265 0.2420 0.5159
Cd1 0.0955 0.0923 0.8153
Cd2 0.7468 0.3334 0.7028
Cd3 0.7468 0.9638 0.7028
Cd4 0.3279 0.4254 0.7553
Cd5 0.3279 0.8193 0.7553
Cd6 0.6672 0.5531 0.8939
Cd7 0.3328 0.4469 0.1061
Cd8 0.6721 0.5746 0.2447
Cd9 0.6721 0.1807 0.2447
Cd10 0.2532 0.6666 0.2972
Cd11 0.2532 0.0362 0.2972
Cd12 0.9045 0.9077 0.1847
Ga1 0.0000 0.6806 0.0000
Ga2 0.0000 0.3194 0.0000

Summary:
Energy of formation ... -46.0 meV per atom
D(E_F) ... 0.326 states/eV per atom